1.
# LiPuNpRh (GGA-PBE, relaxed)
data_LiPuNpRh
_space_group_name_H-M_alt 'F -4 3 m'
_space_group_IT_number 216
_space_group_name_Hall 'F -4 2 3'
_cell_length_a 6.474
_cell_length_b 6.474
_cell_length_c 6.474
_cell_angle_alpha 90.00
_cell_angle_beta 90.00
_cell_angle_gamma 90.00
loop_
_atom_site_label
_atom_site_type_symbol
_atom_site_fract_x
_atom_site_fract_y
_atom_site_fract_z
Li1 Li 0.000 0.000 0.000
Pu1 Pu 0.250 0.250 0.750
Np1 Np 0.000 0.000 0.500
Rh1 Rh 0.250 0.250 0.250
# E: -9.1578 eV per atom

---

2.
# LaTbNdHo3 (GGA-PBE, relaxed)
data_LaTbNdHo3
_space_group_name_H-M_alt 'C m c m'
_space_group_IT_number 63
_space_group_name_Hall '-C 2c 2'
_cell_length_a 5.918
_cell_length_b 11.341
_cell_length_c 11.845
_cell_angle_alpha 90.00
_cell_angle_beta 90.00
_cell_angle_gamma 90.00
loop_
_atom_site_label
_atom_site_type_symbol
_atom_site_fract_x
_atom_site_fract_y
_atom_site_fract_z
La1 La 0.000 0.003 0.250
Tb1 Tb 0.000 0.326 0.250
Nd1 Nd 0.000 0.500 0.000
Ho1 Ho 0.000 0.175 0.502
Ho2 Ho 0.000 0.328 0.750
# E: -4.5651 eV per atom

---

3.
# NaGa3Cl (GGA-PBE, relaxed)
data_NaGa3Cl
_space_group_name_H-M_alt 'P m -3 m'
_space_group_IT_number 221
_space_group_name_Hall '-P 4 2 3'
_cell_length_a 5.424
_cell_length_b 5.424
_cell_length_c 5.424
_cell_angle_alpha 90.00
_cell_angle_beta 90.00
_cell_angle_gamma 90.00
loop_
_atom_site_label
_atom_site_type_symbol
_atom_site_fract_x
_atom_site_fract_y
_atom_site_fract_z
Na1 Na 0.000 0.000 0.000
Ga1 Ga 0.000 0.000 0.500
Cl1 Cl 0.500 0.500 0.500
# Relative energy among the computed polymorphs: 295 meV/atom

---

4.
# CaMg2Ga (GGA-PBE, relaxed)
data_CaMg2Ga
_space_group_name_H-M_alt 'P 4/m m m'
_space_group_IT_number 123
_space_group_name_Hall '-P 4 2'
_cell_length_a 4.452
_cell_length_b 4.452
_cell_length_c 4.854
_cell_angle_alpha 90.00
_cell_angle_beta 90.00
_cell_angle_gamma 90.00
loop_
_atom_site_label
_atom_site_type_symbol
_atom_site_fract_x
_atom_site_fract_y
_atom_site_fract_z
Ca1 Ca 0.000 0.000 0.000
Mg1 Mg 0.000 0.500 0.500
Ga1 Ga 0.500 0.500 0.000
# E: -2.2200 eV per atom

---

5.
# Eu2HoAl (GGA-PBE, relaxed)
data_Eu2HoAl
_space_group_name_H-M_alt 'P 4/m m m'
_space_group_IT_number 123
_space_group_name_Hall '-P 4 2'
_cell_length_a 4.817
_cell_length_b 4.817
_cell_length_c 5.107
_cell_angle_alpha 90.00
_cell_angle_beta 90.00
_cell_angle_gamma 90.00
loop_
_atom_site_label
_atom_site_type_symbol
_atom_site_fract_x
_atom_site_fract_y
_atom_site_fract_z
Eu1 Eu 0.000 0.500 0.000
Ho1 Ho 0.000 0.000 0.500
Al1 Al 0.500 0.500 0.500
# Relative energy among the computed polymorphs: 0 meV/atom

---

6.
# ErScGeIr (GGA-PBE, relaxed)
data_ErScGeIr
_space_group_name_H-M_alt 'F -4 3 m'
_space_group_IT_number 216
_space_group_name_Hall 'F -4 2 3'
_cell_length_a 6.783
_cell_length_b 6.783
_cell_length_c 6.783
_cell_angle_alpha 90.00
_cell_angle_beta 90.00
_cell_angle_gamma 90.00
loop_
_atom_site_label
_atom_site_type_symbol
_atom_site_fract_x
_atom_site_fract_y
_atom_site_fract_z
Er1 Er 0.000 0.000 0.000
Sc1 Sc 0.000 0.000 0.500
Ge1 Ge 0.250 0.250 0.250
Ir1 Ir 0.250 0.250 0.750
# E: -6.8181 eV per atom

---

7.
# Li2CaSm (GGA-PBE, relaxed)
data_Li2CaSm
_space_group_name_H-M_alt 'P 4/m m m'
_space_group_IT_number 123
_space_group_name_Hall '-P 4 2'
_cell_length_a 3.839
_cell_length_b 3.839
_cell_length_c 7.825
_cell_angle_alpha 90.00
_cell_angle_beta 90.00
_cell_angle_gamma 90.00
loop_
_atom_site_label
_atom_site_type_symbol
_atom_site_fract_x
_atom_site_fract_y
_atom_site_fract_z
Li1 Li 0.000 0.000 0.241
Ca1 Ca 0.500 0.500 0.500
Sm1 Sm 0.500 0.500 0.000
# Relative energy among the computed polymorphs: 0 meV/atom

---

8.
# CaAlSi2Ni5 (GGA-PBE, relaxed)
data_CaAlSi2Ni5
_space_group_name_H-M_alt 'P 4/m m m'
_space_group_IT_number 123
_space_group_name_Hall '-P 4 2'
_cell_length_a 4.370
_cell_length_b 4.370
_cell_length_c 6.847
_cell_angle_alpha 90.00
_cell_angle_beta 90.00
_cell_angle_gamma 90.00
loop_
_atom_site_label
_atom_site_type_symbol
_atom_site_fract_x
_atom_site_fract_y
_atom_site_fract_z
Ca1 Ca 0.000 0.000 0.000
Al1 Al 0.000 0.000 0.500
Si1 Si 0.500 0.500 0.323
Ni1 Ni 0.000 0.500 0.296
Ni2 Ni 0.500 0.500 0.000
# E: -5.2463 eV per atom

---

9.
# Mg2PBr (GGA-PBE, relaxed)
data_Mg2PBr
_space_group_name_H-M_alt 'C 1 2/m 1'
_space_group_IT_number 12
_space_group_name_Hall '-C 2y'
_cell_length_a 6.826
_cell_length_b 3.934
_cell_length_c 6.918
_cell_angle_alpha 90.00
_cell_angle_beta 109.40
_cell_angle_gamma 90.00
loop_
_atom_site_label
_atom_site_type_symbol
_atom_site_fract_x
_atom_site_fract_y
_atom_site_fract_z
Mg1 Mg 0.229 0.000 0.184
P1 P 0.000 0.500 0.000
Br1 Br 0.000 0.000 0.500
# Relative energy among the computed polymorphs: 0 meV/atom

---

10.
# Pm3SnO6 (GGA-PBE, relaxed)
data_Pm3SnO6
_space_group_name_H-M_alt 'R -3'
_space_group_IT_number 148
_space_group_name_Hall '-R 3'
_cell_length_a 10.0620
_cell_length_b 10.0620
_cell_length_c 11.3613
_cell_angle_alpha 90.00
_cell_angle_beta 90.00
_cell_angle_gamma 120.00
loop_
_atom_site_label
_atom_site_type_symbol
_atom_site_fract_x
_atom_site_fract_y
_atom_site_fract_z
Pm1 Pm 0.0402 0.7742 0.2051
Sn1 Sn 0.0000 0.0000 0.0000
Sn2 Sn 0.0000 0.0000 0.5000
O1 O 0.0291 0.8506 0.8847
O2 O 0.0330 0.7943 0.4060
# Relative energy among the computed polymorphs: 0 meV/atom

---

11.
# TmAg2Pt (GGA-PBE, relaxed)
data_TmAg2Pt
_space_group_name_H-M_alt 'P 4/m m m'
_space_group_IT_number 123
_space_group_name_Hall '-P 4 2'
_cell_length_a 4.024
_cell_length_b 4.024
_cell_length_c 4.753
_cell_angle_alpha 90.00
_cell_angle_beta 90.00
_cell_angle_gamma 90.00
loop_
_atom_site_label
_atom_site_type_symbol
_atom_site_fract_x
_atom_site_fract_y
_atom_site_fract_z
Tm1 Tm 0.000 0.000 0.000
Ag1 Ag 0.000 0.500 0.500
Pt1 Pt 0.500 0.500 0.000
# E: -4.5628 eV per atom

---

12.
# Tb6NdHo2Mg (GGA-PBE, relaxed)
data_Tb6NdHo2Mg
_space_group_name_H-M_alt 'C 1 2/c 1'
_space_group_IT_number 15
_space_group_name_Hall '-C 2yc'
_cell_length_a 10.025
_cell_length_b 19.240
_cell_length_c 6.647
_cell_angle_alpha 90.00
_cell_angle_beta 98.38
_cell_angle_gamma 90.00
loop_
_atom_site_label
_atom_site_type_symbol
_atom_site_fract_x
_atom_site_fract_y
_atom_site_fract_z
Tb1 Tb 0.073 0.144 0.040
Tb2 Tb 0.103 0.416 0.980
Tb3 Tb 0.172 0.258 0.713
Nd1 Nd 0.000 0.012 0.750
Ho1 Ho 0.242 0.416 0.496
Mg1 Mg 0.000 0.292 0.250
# E: -4.2158 eV per atom

---

13.
# Tb3Zn2Os (GGA-PBE, relaxed)
data_Tb3Zn2Os
_space_group_name_H-M_alt 'C m m m'
_space_group_IT_number 65
_space_group_name_Hall '-C 2 2'
_cell_length_a 4.950
_cell_length_b 14.870
_cell_length_c 7.181
_cell_angle_alpha 90.00
_cell_angle_beta 90.00
_cell_angle_gamma 90.00
loop_
_atom_site_label
_atom_site_type_symbol
_atom_site_fract_x
_atom_site_fract_y
_atom_site_fract_z
Tb1 Tb 0.000 0.000 0.239
Tb2 Tb 0.000 0.329 0.234
Zn1 Zn 0.000 0.165 0.500
Zn2 Zn 0.000 0.500 0.000
Zn3 Zn 0.000 0.500 0.500
Os1 Os 0.000 0.164 0.000
# E: -4.9262 eV per atom

---

14.
# Rb3SrP (GGA-PBE, relaxed)
data_Rb3SrP
_space_group_name_H-M_alt 'P m -3 m'
_space_group_IT_number 221
_space_group_name_Hall '-P 4 2 3'
_cell_length_a 6.768
_cell_length_b 6.768
_cell_length_c 6.768
_cell_angle_alpha 90.00
_cell_angle_beta 90.00
_cell_angle_gamma 90.00
loop_
_atom_site_label
_atom_site_type_symbol
_atom_site_fract_x
_atom_site_fract_y
_atom_site_fract_z
Rb1 Rb 0.000 0.000 0.500
Sr1 Sr 0.500 0.500 0.500
P1 P 0.000 0.000 0.000
# Relative energy among the computed polymorphs: 0 meV/atom

---

15.
# RbBaGe4 (GGA-PBE, relaxed)
data_RbBaGe4
_space_group_name_H-M_alt 'P b a m'
_space_group_IT_number 55
_space_group_name_Hall '-P 2 2ab'
_cell_length_a 8.810
_cell_length_b 15.799
_cell_length_c 5.381
_cell_angle_alpha 90.00
_cell_angle_beta 90.00
_cell_angle_gamma 90.00
loop_
_atom_site_label
_atom_site_type_symbol
_atom_site_fract_x
_atom_site_fract_y
_atom_site_fract_z
Rb1 Rb 0.137 0.087 0.000
Ba1 Ba 0.131 0.352 0.000
Ge1 Ge 0.000 0.202 0.500
Ge2 Ge 0.113 0.946 0.500
Ge3 Ge 0.133 0.528 0.500
Ge4 Ge 0.202 0.688 0.500
# Relative energy among the computed polymorphs: 5 meV/atom

---

16.
# Pr3Al9Ag2 (GGA-PBE, relaxed)
data_Pr3Al9Ag2
_space_group_name_H-M_alt 'I m m m'
_space_group_IT_number 71
_space_group_name_Hall '-I 2 2'
_cell_length_a 4.417
_cell_length_b 10.260
_cell_length_c 12.817
_cell_angle_alpha 90.00
_cell_angle_beta 90.00
_cell_angle_gamma 90.00
loop_
_atom_site_label
_atom_site_type_symbol
_atom_site_fract_x
_atom_site_fract_y
_atom_site_fract_z
Pr1 Pr 0.000 0.000 0.000
Pr2 Pr 0.000 0.000 0.313
Al1 Al 0.000 0.276 0.132
Al2 Al 0.000 0.370 0.335
Al3 Al 0.000 0.500 0.000
Ag1 Ag 0.000 0.217 0.500
# E: -4.2366 eV per atom

---

17.
# BaCo2Os (GGA-PBE, relaxed)
data_BaCo2Os
_space_group_name_H-M_alt 'P 4/m m m'
_space_group_IT_number 123
_space_group_name_Hall '-P 4 2'
_cell_length_a 4.801
_cell_length_b 4.801
_cell_length_c 3.020
_cell_angle_alpha 90.00
_cell_angle_beta 90.00
_cell_angle_gamma 90.00
loop_
_atom_site_label
_atom_site_type_symbol
_atom_site_fract_x
_atom_site_fract_y
_atom_site_fract_z
Ba1 Ba 0.000 0.000 0.000
Co1 Co 0.000 0.500 0.500
Os1 Os 0.500 0.500 0.000
# Relative energy among the computed polymorphs: 828 meV/atom

---

18.
# La3Ga8Au3 (GGA-PBE, relaxed)
data_La3Ga8Au3
_space_group_name_H-M_alt 'I m m m'
_space_group_IT_number 71
_space_group_name_Hall '-I 2 2'
_cell_length_a 4.495
_cell_length_b 9.645
_cell_length_c 13.377
_cell_angle_alpha 90.00
_cell_angle_beta 90.00
_cell_angle_gamma 90.00
loop_
_atom_site_label
_atom_site_type_symbol
_atom_site_fract_x
_atom_site_fract_y
_atom_site_fract_z
La1 La 0.000 0.000 0.000
La2 La 0.000 0.000 0.307
Ga1 Ga 0.000 0.279 0.142
Ga2 Ga 0.000 0.368 0.338
Au1 Au 0.000 0.210 0.500
Au2 Au 0.000 0.500 0.000
# Relative energy among the computed polymorphs: 3 meV/atom

---

19.
# Hf2BiS (GGA-PBE, relaxed)
data_Hf2BiS
_space_group_name_H-M_alt 'I -4 2 d'
_space_group_IT_number 122
_space_group_name_Hall 'I -4 2bw'
_cell_length_a 5.560
_cell_length_b 5.560
_cell_length_c 14.612
_cell_angle_alpha 90.00
_cell_angle_beta 90.00
_cell_angle_gamma 90.00
loop_
_atom_site_label
_atom_site_type_symbol
_atom_site_fract_x
_atom_site_fract_y
_atom_site_fract_z
Hf1 Hf 0.161 0.250 0.125
Bi1 Bi 0.000 0.000 0.500
S1 S 0.000 0.000 0.000
# Relative energy among the computed polymorphs: 533 meV/atom

---

20.
# RbFeSn2Cl8 (GGA-PBE, relaxed)
data_RbFeSn2Cl8
_space_group_name_H-M_alt 'P -1'
_space_group_IT_number 2
_space_group_name_Hall '-P 1'
_cell_length_a 6.771
_cell_length_b 7.184
_cell_length_c 8.261
_cell_angle_alpha 69.86
_cell_angle_beta 85.37
_cell_angle_gamma 85.33
loop_
_atom_site_label
_atom_site_type_symbol
_atom_site_fract_x
_atom_site_fract_y
_atom_site_fract_z
Rb1 Rb 0.000 0.000 0.000
Fe1 Fe 0.000 0.500 0.500
Sn1 Sn 0.460 0.479 0.263
Cl1 Cl 0.069 0.417 0.254
Cl2 Cl 0.226 0.740 0.394
Cl3 Cl 0.246 0.278 0.633
Cl4 Cl 0.460 0.764 0.963
# E: -3.7185 eV per atom

---

21.
# Cs2BaCoBr6 (GGA-PBE, relaxed)
data_Cs2BaCoBr6
_space_group_name_H-M_alt 'F m -3 m'
_space_group_IT_number 225
_space_group_name_Hall '-F 4 2 3'
_cell_length_a 11.538
_cell_length_b 11.538
_cell_length_c 11.538
_cell_angle_alpha 90.00
_cell_angle_beta 90.00
_cell_angle_gamma 90.00
loop_
_atom_site_label
_atom_site_type_symbol
_atom_site_fract_x
_atom_site_fract_y
_atom_site_fract_z
Cs1 Cs 0.250 0.250 0.250
Ba1 Ba 0.000 0.000 0.000
Co1 Co 0.000 0.000 0.500
Br1 Br 0.000 0.000 0.274
# Relative energy among the computed polymorphs: 9 meV/atom

---

22.
# Cu2SnF8 (GGA-PBE, relaxed)
data_Cu2SnF8
_space_group_name_H-M_alt 'C 1 2/m 1'
_space_group_IT_number 12
_space_group_name_Hall '-C 2y'
_cell_length_a 9.086
_cell_length_b 6.877
_cell_length_c 4.625
_cell_angle_alpha 90.00
_cell_angle_beta 91.29
_cell_angle_gamma 90.00
loop_
_atom_site_label
_atom_site_type_symbol
_atom_site_fract_x
_atom_site_fract_y
_atom_site_fract_z
Cu1 Cu 0.116 0.000 0.255
Sn1 Sn 0.000 0.500 0.000
F1 F 0.091 0.000 0.745
F2 F 0.108 0.295 0.229
F3 F 0.172 0.500 0.731
# E: -4.3591 eV per atom

---

23.
# HfMnOs (GGA-PBE, relaxed)
data_HfMnOs
_space_group_name_H-M_alt 'I m m a'
_space_group_IT_number 74
_space_group_name_Hall '-I 2b 2'
_cell_length_a 5.020
_cell_length_b 5.239
_cell_length_c 7.172
_cell_angle_alpha 90.00
_cell_angle_beta 90.00
_cell_angle_gamma 90.00
loop_
_atom_site_label
_atom_site_type_symbol
_atom_site_fract_x
_atom_site_fract_y
_atom_site_fract_z
Hf1 Hf 0.000 0.250 0.125
Mn1 Mn 0.250 0.250 0.750
Os1 Os 0.000 0.000 0.500
# Relative energy among the computed polymorphs: 0 meV/atom